1.
The following is a PBE calculation of Tb2Co5P4 after structural relaxation, from Alexandria.

Computed properties:
**VASP energy**: -75.5 eV for the cell shown
**Calculated volume**: 14.05 A^3/atom
**Crystal system**: orthorhombic

The structure in POSCAR format:
```
Tb2Co5P4
1.0
-3.773 -1.210 -3.279
1.255 -1.650 -4.868
-1.754 -6.750 0.477
Co P Tb
5 4 2
direct
0.500 0.000 0.000 Co
0.000 0.500 0.000 Co
0.250 0.500 0.500 Co
0.750 0.500 0.500 Co
0.500 0.500 0.000 Co
0.472 0.314 0.741 P
0.787 0.686 0.741 P
0.528 0.686 0.259 P
0.213 0.314 0.259 P
0.862 0.000 0.275 Tb
0.138 0.000 0.725 Tb
```

2.
The following is a PBE calculation of Tb2CoP after structural relaxation, from Alexandria.

Computed properties:
**VASP energy**: -22.1 eV for the cell shown
**Calculated volume**: 25.58 A^3/atom
**Crystal system**: trigonal

The structure in POSCAR format:
```
Tb2CoP
1.0
-1.991 -1.939 -2.533
0.181 -3.756 -0.059
-7.014 -2.291 4.475
P Co Tb
1 1 2
direct
0.500 0.500 0.500 P
0.000 0.000 0.000 Co
0.899 0.899 0.302 Tb
0.101 0.101 0.698 Tb
```

3.
The following is a PBE calculation of Tb3Co2P3 after structural relaxation, from Alexandria.

Computed properties:
**VASP energy**: -105.9 eV for the cell shown
**Calculated volume**: 17.46 A^3/atom
**Crystal system**: orthorhombic

The structure in POSCAR format:
```
Tb3Co2P3
1.0
3.965 0.000 0.000
-1.982 5.183 0.000
0.000 0.000 13.594
Tb P Co
6 6 4
direct
0.923 0.846 0.106 Tb
0.077 0.154 0.894 Tb
0.923 0.846 0.394 Tb
0.638 0.276 0.250 Tb
0.362 0.724 0.750 Tb
0.077 0.154 0.606 Tb
0.642 0.284 0.455 P
0.358 0.716 0.955 P
0.662 0.324 0.750 P
0.338 0.676 0.250 P
0.358 0.716 0.545 P
0.642 0.284 0.045 P
0.221 0.442 0.097 Co
0.779 0.558 0.597 Co
0.779 0.558 0.903 Co
0.221 0.442 0.403 Co
```

no.,calculated formation energy (eV per formula unit)
1,-9.12
2,-0.29
3,-8.62